First-principles (PBE) data for a relaxed structure of Sm12DyTm3, as listed in the Alexandria database.

Lattice parameters (Å, degrees): 5.086 5.086 20.299 90.00 90.00 90.00
Fractional coordinates of all 16 atoms:
Sm 0.500 0.500 0.749
Sm 0.500 0.000 0.126
Dy 0.000 0.000 0.000
Sm 0.500 0.500 0.251
Sm 0.500 0.500 0.000
Sm 0.500 0.000 0.375
Tm 0.000 0.000 0.750
Sm 0.500 0.500 0.500
Sm 0.500 0.000 0.625
Sm 0.500 0.000 0.874
Sm 0.000 0.500 0.625
Sm 0.000 0.500 0.126
Sm 0.000 0.500 0.375
Tm 0.000 0.000 0.250
Tm 0.000 0.000 0.500
Sm 0.000 0.500 0.874

## Properties
Calculated total energy (hartree per atom): -0.17082
Total moment (μB/f.u.): 0.0
Space-group type: P4/mmm

---

First-principles (PBE) data for a relaxed structure of LaPr2Ge, as listed in the Alexandria database.

Lattice parameters (Å, degrees): 4.248 6.579 9.605 90.00 90.00 108.89
Fractional coordinates of all 8 atoms:
Pr 0.644 0.289 0.053
Pr 0.644 0.289 0.447
La 0.069 0.138 0.750
La 0.931 0.862 0.250
Ge 0.246 0.494 0.250
Ge 0.754 0.506 0.750
Pr 0.356 0.711 0.947
Pr 0.356 0.711 0.553

## Properties
Calculated total energy (hartree per atom): -0.19142
Total moment (μB/f.u.): 0.0
Space-group type: P2_1/m

---

First-principles (PBE) data for a relaxed structure of BeC5, as listed in the Alexandria database.

Lattice parameters (Å, degrees): 3.064 3.064 7.914 90.00 90.00 120.00
Site moments in Bohr magnetons follow the coordinates.
Fractional coordinates of all 6 atoms:
Be 0.000 0.000 0.000  0.07
C 0.667 0.333 0.000  0.12
C 0.333 0.667 0.000  0.12
C 0.500 0.500 0.500  0.00
C 0.000 0.500 0.500  0.00
C 0.500 0.000 0.500  0.00

## Properties
Calculated total energy (hartree per atom): -0.21451
Total moment (μB/f.u.): 0.4
Space-group type: P6/mmm

---

First-principles (PBE) data for a relaxed structure of BeNbAg, as listed in the Alexandria database.

Lattice parameters (Å, degrees): 6.071 2.996 9.871 90.00 90.00 90.00
Fractional coordinates of all 12 atoms:
Be 0.635 0.750 0.267
Be 0.135 0.750 0.233
Nb 0.628 0.750 0.583
Be 0.365 0.250 0.733
Be 0.865 0.250 0.767
Ag 0.398 0.250 0.114
Ag 0.898 0.250 0.386
Nb 0.128 0.750 0.917
Ag 0.102 0.750 0.614
Ag 0.602 0.750 0.886
Nb 0.872 0.250 0.083
Nb 0.372 0.250 0.417

## Properties
Calculated total energy (hartree per atom): -0.19695
Total moment (μB/f.u.): 0.0
Space-group type: Pnma

---

In the order shown, the computed formation enthalpy at 0 K values come out to 0.017; -0.433; 2.470; 0.190 eV per atom.